First-principles (PBE-GGA) data for crystalline NbVCu4 at its relaxed geometry, as listed in Alexandria via LeMat-Bulk.

Geometry as extended XYZ:
```
6
Lattice="0.000 3.437 3.437 3.437 0.000 3.437 3.437 3.437 0.000" Properties=species:S:1:pos:R:3 pbc="T T T"
Nb 0.000 0.000 0.000
V 5.156 5.156 5.156
Cu 2.580 2.580 2.580
Cu 4.295 4.295 2.580
Cu 4.295 2.580 4.295
Cu 2.580 4.295 4.295
```

## Properties
Energy relative to the elements ... 0.1245 eV per atom
E_tot ... -5.804 eV/atom
Volume ... 81 Å³/cell